# PBE+U V2ZnF, relaxed
data_V2ZnF
_chemical_formula_sum 'V8 Zn4 F4'
_symmetry_space_group_name_H-M 'F m -3 m'
_symmetry_Int_Tables_number 225
_symmetry_space_group_name_Hall '-F 4 2 3'
_cell_length_a 6.3655
_cell_length_b 6.3655
_cell_length_c 6.3655
_cell_angle_alpha 90.00
_cell_angle_beta 90.00
_cell_angle_gamma 90.00
loop_
_atom_site_label
_atom_site_fract_x
_atom_site_fract_y
_atom_site_fract_z
V1 0.2500 0.2500 0.2500
Zn1 0.0000 0.0000 0.0000
F1 0.0000 0.0000 0.5000
# Raw total energy in eV for the cell shown: -64.87
# Total magnetic moment in Bohr magnetons per cell: 27.39
# N(E_F) in states/eV/f.u.: 3.7